## Sm2YMnN4 (PBE)

Data for a relaxed Sm2YMnN4 crystal.

The structure belongs to space group Cmcm (No. 63); the cell edges are 3.409, 11.622 and 11.826 Å and the angles 90.00°, 90.00° and 90.00°. Symmetry generates all atoms from Sm at (0.000, 0.133, 0.043), Y at (0.000, 0.378, 0.250), Mn at (0.000, 0.346, 0.750), N at (0.000, 0.082, 0.250), N at (0.000, 0.230, 0.638) and N at (0.000, 0.500, 0.000).

The calculation puts the uncorrected formation energy at -1.03 eV per atom. For the size of the total moment, the calculation gives 0.00 μB/f.u. The value obtained for the total energy is -8.324 eV per atom.

---

## SmY2MnN4 (PBE)

Data for a relaxed SmY2MnN4 crystal.

The structure belongs to space group Cmcm (No. 63); the cell edges are 3.390, 11.443 and 11.536 Å and the angles 90.00°, 90.00° and 90.00°. Symmetry generates all atoms from Sm at (0.000, 0.112, 0.250), Y at (0.000, 0.368, 0.044), Mn at (0.000, 0.156, 0.750), N at (0.000, 0.000, 0.000), N at (0.000, 0.266, 0.632) and N at (0.000, 0.421, 0.250).

The calculation puts the uncorrected formation energy at -1.17 eV per atom. For the size of the total moment, the calculation gives 0.00 μB/f.u. The value obtained for the total energy is -8.682 eV per atom.

---

## SmZr2MnN4 (PBE)

Data for a relaxed SmZr2MnN4 crystal.

The structure belongs to space group Cmcm (No. 63); the cell edges are 3.263, 11.111 and 11.081 Å and the angles 90.00°, 90.00° and 90.00°. Symmetry generates all atoms from Sm at (0.000, 0.105, 0.250), Zr at (0.000, 0.368, 0.047), Mn at (0.000, 0.158, 0.750), N at (0.000, 0.000, 0.000), N at (0.000, 0.268, 0.620) and N at (0.000, 0.431, 0.250).

The calculation puts the uncorrected formation energy at -1.28 eV per atom. For the size of the total moment, the calculation gives 0.00 μB/f.u. The value obtained for the total energy is -9.319 eV per atom.

---

## MnSnN2 (PBE)

Data for a relaxed MnSnN2 crystal.

The structure belongs to space group R-3m (No. 166, hexagonal axes); the cell edges are 3.0339, 3.0339 and 18.8566 Å and the angles 90.00°, 90.00° and 120.00°. Symmetry generates all atoms from Mn at (0.0000, 0.0000, 0.0000), Sn at (0.0000, 0.0000, 0.5000) and N at (0.0000, 0.0000, 0.3852).

The calculation puts the uncorrected formation energy at 0.17 eV per atom. For the size of the total moment, the calculation gives 2.61 μB/f.u. The value obtained for the total energy is -7.285 eV per atom.

---

Which of these has the highest size of the total moment?
MnSnN2

---

Look up the size of the total moment of the first one.
0.00 μB/f.u.

---

The highest size of the total moment belongs to which entry?
MnSnN2